*w*
Below is a relaxed Ho3Sc8 crystal, with properties calculated at the GGA-PBE level.

Properties
The value obtained for the density of states at the Fermi level is 21.4 states/eV/cell.

Cell lengths 6.801, 6.801, 6.801 Å; angles 93.83, 93.83, 93.83 degrees
Fractional coordinates of all 11 atoms:
Ho (0.500, 0.000, 0.500)
Ho (0.000, 0.500, 0.500)
Ho (0.500, 0.500, 0.000)
Sc (0.940, 0.306, 0.090)
Sc (0.306, 0.090, 0.940)
Sc (0.090, 0.940, 0.306)
Sc (0.351, 0.351, 0.351)
Sc (0.649, 0.649, 0.649)
Sc (0.910, 0.060, 0.694)
Sc (0.694, 0.910, 0.060)
Sc (0.060, 0.694, 0.910)



*x*
Below is a relaxed Ho3Sc8 crystal, with properties calculated at the GGA-PBE level.

Properties
The value obtained for the density of states at the Fermi level is 19.0 states/eV/cell.

Cell lengths 8.098, 8.190, 5.949 Å; angles 115.46, 82.31, 122.89 degrees
Fractional coordinates of all 11 atoms:
Ho (0.000, 0.500, 0.500)
Ho (0.500, 0.000, 0.500)
Ho (0.500, 0.500, 0.000)
Sc (0.622, 0.244, 0.122)
Sc (0.012, 0.736, 0.164)
Sc (0.167, 0.000, 0.831)
Sc (0.724, 0.736, 0.572)
Sc (0.276, 0.264, 0.428)
Sc (0.833, 0.000, 0.169)
Sc (0.988, 0.264, 0.836)
Sc (0.378, 0.756, 0.878)



*x* wins, 449 meV per atom ahead of the next structure.



*w*
Below is a relaxed Ho4Sc5 crystal, with properties calculated at the GGA-PBE level.

Properties
The value obtained for the density of states at the Fermi level is 14.2 states/eV/cell.

Cell lengths 4.799, 7.541, 7.541 Å; angles 84.19, 71.44, 71.44 degrees
Fractional coordinates of all 9 atoms:
Ho (0.000, 0.674, 0.326)
Ho (0.000, 0.326, 0.674)
Ho (0.674, 0.326, 0.326)
Ho (0.326, 0.674, 0.674)
Sc (0.000, 0.000, 0.000)
Sc (0.664, 0.000, 0.673)
Sc (0.664, 0.673, 0.000)
Sc (0.336, 0.327, 0.000)
Sc (0.336, 0.000, 0.327)



*x*
Below is a relaxed Ho4Sc5 crystal, with properties calculated at the GGA-PBE level.

Properties
The value obtained for the density of states at the Fermi level is 26.6 states/eV/cell.

Cell lengths 6.634, 9.227, 9.227 Å; angles 120.00, 90.00, 90.00 degrees
Fractional coordinates of all 18 atoms:
Ho (0.000, 0.000, 0.000)
Ho (0.500, 0.000, 0.000)
Ho (0.750, 0.362, 0.362)
Ho (0.750, 0.000, 0.638)
Ho (0.750, 0.638, 0.000)
Ho (0.250, 0.638, 0.638)
Ho (0.250, 0.000, 0.362)
Ho (0.250, 0.362, 0.000)
Sc (0.750, 0.689, 0.689)
Sc (0.750, 0.000, 0.311)
Sc (0.750, 0.311, 0.000)
Sc (0.250, 0.311, 0.311)
Sc (0.250, 0.000, 0.689)
Sc (0.250, 0.689, 0.000)
Sc (0.000, 0.667, 0.333)
Sc (0.500, 0.333, 0.667)
Sc (0.000, 0.333, 0.667)
Sc (0.500, 0.667, 0.333)



*w* wins, 19 meV per atom ahead of the next structure.



*w*
Below is a relaxed HoSc6 crystal, with properties calculated at the GGA-PBE level.

Properties
The value obtained for the density of states at the Fermi level is 22.7 states/eV/cell.

Cell lengths 6.044, 6.044, 10.119 Å; angles 90.00, 90.00, 90.00 degrees
Last column: magnetic moment on the atom in μB.
Fractional coordinates of all 14 atoms:
Ho (0.500, 0.000, 0.000)  0.09
Ho (0.000, 0.500, 0.000)  0.09
Sc (0.500, 0.500, 0.143)  0.09
Sc (0.000, 0.000, 0.143)  0.09
Sc (0.000, 0.000, 0.857)  0.09
Sc (0.500, 0.500, 0.857)  0.09
Sc (0.832, 0.668, 0.363)  0.00
Sc (0.332, 0.832, 0.363)  0.00
Sc (0.668, 0.168, 0.363)  0.00
Sc (0.168, 0.332, 0.363)  0.00
Sc (0.668, 0.832, 0.637)  0.00
Sc (0.168, 0.668, 0.637)  0.00
Sc (0.832, 0.332, 0.637)  0.00
Sc (0.332, 0.168, 0.637)  0.00



*x*
Below is a relaxed HoSc6 crystal, with properties calculated at the GGA-PBE level.

Properties
The value obtained for the density of states at the Fermi level is 7.2 states/eV/cell.

Cell lengths 6.294, 6.294, 6.294 Å; angles 109.47, 109.47, 109.47 degrees
Fractional coordinates of all 7 atoms:
Ho (0.000, 0.000, 0.000)
Sc (0.250, 0.750, 0.500)
Sc (0.500, 0.750, 0.250)
Sc (0.250, 0.500, 0.750)
Sc (0.750, 0.250, 0.500)
Sc (0.500, 0.250, 0.750)
Sc (0.750, 0.500, 0.250)



*w* wins, 1074 meV per atom ahead of the next structure.



*w*
Below is a relaxed Ho4Sc crystal, with properties calculated at the GGA-PBE level.

Properties
The value obtained for the density of states at the Fermi level is 6.9 states/eV/cell.

Cell lengths 5.495, 5.495, 5.495 Å; angles 90.00, 90.00, 90.00 degrees
Last column: magnetic moment on the atom in μB.
Fractional coordinates of all 5 atoms:
Sc (0.500, 0.500, 0.500)  0.27
Ho (0.000, 0.000, 0.000)  0.03
Ho (0.500, 0.000, 0.500)  0.10
Ho (0.000, 0.500, 0.500)  0.10
Ho (0.500, 0.500, 0.000)  0.10



*x*
Below is a relaxed Ho4Sc crystal, with properties calculated at the GGA-PBE level.

Properties
The value obtained for the density of states at the Fermi level is 7.2 states/eV/cell.

Cell lengths 3.482, 3.482, 14.217 Å; angles 83.05, 83.05, 60.04 degrees
Fractional coordinates of all 5 atoms:
Ho (0.201, 0.201, 0.398)
Ho (0.799, 0.799, 0.602)
Ho (0.603, 0.603, 0.192)
Ho (0.397, 0.397, 0.808)
Sc (0.000, 0.000, 0.000)



*x* wins, 570 meV per atom ahead of the next structure.



*w*
Below is a relaxed Ho3Sc7 crystal, with properties calculated at the GGA-PBE level.

Properties
The value obtained for the density of states at the Fermi level is 40.7 states/eV/cell.

Cell lengths 5.921, 10.180, 10.180 Å; angles 120.00, 90.00, 90.00 degrees
Fractional coordinates of all 20 atoms:
Ho (0.864, 0.205, 0.410)
Ho (0.864, 0.205, 0.795)
Ho (0.864, 0.590, 0.795)
Ho (0.364, 0.795, 0.590)
Ho (0.364, 0.795, 0.205)
Ho (0.364, 0.410, 0.205)
Sc (0.009, 0.667, 0.333)
Sc (0.509, 0.333, 0.667)
Sc (0.881, 0.882, 0.763)
Sc (0.881, 0.882, 0.118)
Sc (0.881, 0.237, 0.118)
Sc (0.381, 0.118, 0.237)
Sc (0.381, 0.118, 0.882)
Sc (0.381, 0.763, 0.882)
Sc (0.221, 0.470, 0.940)
Sc (0.221, 0.470, 0.530)
Sc (0.221, 0.060, 0.530)
Sc (0.721, 0.530, 0.060)
Sc (0.721, 0.530, 0.470)
Sc (0.721, 0.940, 0.470)



*x*
Below is a relaxed Ho3Sc7 crystal, with properties calculated at the GGA-PBE level.

Properties
The value obtained for the density of states at the Fermi level is 17.8 states/eV/cell.

Cell lengths 4.707, 6.688, 8.849 Å; angles 101.23, 105.42, 90.00 degrees
Fractional coordinates of all 10 atoms:
Ho (0.000, 0.000, 0.000)
Ho (0.802, 0.398, 0.605)
Ho (0.198, 0.602, 0.395)
Sc (0.000, 0.500, 0.000)
Sc (0.800, 0.901, 0.600)
Sc (0.200, 0.099, 0.400)
Sc (0.599, 0.300, 0.197)
Sc (0.401, 0.700, 0.803)
Sc (0.600, 0.802, 0.201)
Sc (0.400, 0.198, 0.799)



*x* wins, 150 meV per atom ahead of the next structure.



*w*
Below is a relaxed HoSc2 crystal, with properties calculated at the GGA-PBE level.

Properties
The value obtained for the density of states at the Fermi level is 19.4 states/eV/cell.

Cell lengths 4.742, 6.691, 10.017 Å; angles 90.00, 90.00, 90.00 degrees
Fractional coordinates of all 12 atoms:
Ho (0.750, 0.872, 0.086)
Ho (0.250, 0.628, 0.586)
Ho (0.750, 0.372, 0.414)
Ho (0.250, 0.128, 0.914)
Sc (0.750, 0.378, 0.753)
Sc (0.250, 0.122, 0.253)
Sc (0.750, 0.878, 0.747)
Sc (0.250, 0.622, 0.247)
Sc (0.750, 0.375, 0.083)
Sc (0.250, 0.125, 0.583)
Sc (0.750, 0.875, 0.417)
Sc (0.250, 0.625, 0.917)



*x*
Below is a relaxed HoSc2 crystal, with properties calculated at the GGA-PBE level.

Properties
The value obtained for the density of states at the Fermi level is 13.5 states/eV/cell.

Cell lengths 6.244, 6.244, 6.244 Å; angles 60.00, 60.00, 60.00 degrees
Last column: magnetic moment on the atom in μB.
Fractional coordinates of all 6 atoms:
Sc (0.125, 0.625, 0.625)  0.52
Sc (0.625, 0.125, 0.625)  0.52
Sc (0.625, 0.625, 0.625)  0.52
Sc (0.625, 0.625, 0.125)  0.52
Ho (0.000, 0.000, 0.000)  0.68
Ho (0.250, 0.250, 0.250)  0.68



*y*
Below is a relaxed HoSc2 crystal, with properties calculated at the GGA-PBE level.

Properties
The value obtained for the density of states at the Fermi level is 11.4 states/eV/cell.

Cell lengths 3.406, 5.310, 9.009 Å; angles 90.00, 100.90, 90.00 degrees
Fractional coordinates of all 6 atoms:
Ho (0.111, 0.250, 0.222)
Ho (0.889, 0.750, 0.778)
Sc (0.444, 0.250, 0.888)
Sc (0.556, 0.750, 0.112)
Sc (0.778, 0.250, 0.557)
Sc (0.222, 0.750, 0.443)



*y* wins, 33 meV per atom ahead of the next structure.